Material: NiS2ClF
Method: DFT, GGA+U
State: optimized geometry

Summary:
V ... 86 Å³/f.u.
Distance to the lowest polymorph of the same formula ... 0.000 eV per atom
Raw total energy ... -2.332 eV per atom
Space-group type ... P4/mmm (123)

a = 4.377 Å, b = 4.377 Å, c = 4.501 Å
α = 90.00°, β = 90.00°, γ = 90.00°
Element x y z (fractional)
Ni 0.000 0.000 0.000
S 0.000 0.500 0.000
S 0.500 0.000 0.000
F 0.500 0.500 0.500
Cl 0.000 0.000 0.500